(1)
A geometry-optimized InHg3S structure, computed with PBE.

Output
**VASP energy**: -1.253 eV/atom
**Excess energy over the best structure of this formula in the dataset**: 0.000 eV per atom
**Energy relative to the elements, uncorrected**: 301 meV per atom

Structure (extended XYZ):
```
5
Lattice="5.357 0.000 0.000 0.000 5.357 0.000 0.000 0.000 5.357" Properties=species:S:1:pos:R:3 pbc="T T T"
In 0.000 0.000 0.000
Hg 0.000 2.679 2.679
Hg 2.679 0.000 2.679
Hg 2.679 2.679 0.000
S 2.679 2.679 2.679
```



(2)
A geometry-optimized Pr6Pd2PtI3 structure, computed with PBE.

Output
**VASP energy**: -5.097 eV/atom
**Energy relative to the elements, uncorrected**: -951 meV per atom

Structure (extended XYZ):
```
12
Lattice="3.729 -6.461 0.000 3.729 6.461 0.000 -2.489 0.000 8.155" Properties=species:S:1:pos:R:3 pbc="T T T"
Pr 1.229 2.130 1.537
Pr -0.031 0.000 6.616
Pr 1.229 -2.130 1.537
Pr 3.741 2.130 6.618
Pr 5.001 0.000 1.540
Pr 3.741 -2.130 6.618
Pd 3.729 2.152 0.000
Pd 3.729 -2.152 0.000
Pt 0.000 0.000 0.000
I 2.485 4.303 4.078
I 2.485 0.000 4.078
I 2.485 -4.303 4.078
```